## w
{"formula": "La2Pm2In", "functional": "PBE", "state": "relaxed", "lattice_angstrom": [[8.428, 0.000, 0.000], [0.000, 8.428, 0.000], [0.000, 0.000, 4.774]], "species": ["La", "La", "La", "La", "Pm", "Pm", "Pm", "Pm", "In", "In"], "frac_coords": [[0.658, 0.158, 0.500], [0.842, 0.658, 0.500], [0.342, 0.842, 0.500], [0.158, 0.342, 0.500], [0.852, 0.352, 0.000], [0.648, 0.852, 0.000], [0.148, 0.648, 0.000], [0.352, 0.148, 0.000], [0.000, 0.000, 0.000], [0.500, 0.500, 0.000]], "crystal_system": "tetragonal", "magmom_total_mub_per_cell": 0.0, "n_ef_per_ev_cell": 12.4}



## x
{"formula": "La2Pm2In", "functional": "PBE", "state": "relaxed", "lattice_angstrom": [[-1.994, 1.875, -4.973], [-3.436, -5.318, 2.613], [0.627, 6.457, 2.182]], "species": ["La", "La", "Pm", "Pm", "In"], "frac_coords": [[0.605, 0.209, 0.395], [0.395, 0.791, 0.605], [0.182, 0.363, 0.818], [0.818, 0.637, 0.182], [0.000, 0.000, 0.000]], "crystal_system": "monoclinic", "magmom_total_mub_per_cell": 0.0, "n_ef_per_ev_cell": 5.3}



It is x that is most stable; the runner-up trails by 114 meV/atom.



## w
{"formula": "La3Pm2In4", "functional": "PBE", "state": "relaxed", "lattice_angstrom": [[-4.785, 0.686, 2.611], [-2.114, -4.096, 2.982], [5.127, 3.535, 8.465]], "species": ["La", "La", "La", "Pm", "Pm", "In", "In", "In", "In"], "frac_coords": [[0.333, 0.333, 0.426], [0.000, 0.000, 0.000], [0.667, 0.667, 0.574], [0.333, 0.334, 0.784], [0.667, 0.666, 0.216], [0.666, 0.667, 0.896], [0.000, 0.000, 0.346], [0.000, 0.000, 0.654], [0.334, 0.333, 0.104]], "crystal_system": "monoclinic", "magmom_total_mub_per_cell": 0.0, "n_ef_per_ev_cell": 9.6}



## x
{"formula": "La3Pm2In4", "functional": "PBE", "state": "relaxed", "lattice_angstrom": [[5.224, 0.000, 0.000], [-2.612, 5.957, -0.987], [0.000, -3.872, 9.547]], "species": ["La", "La", "La", "Pm", "Pm", "In", "In", "In", "In"], "frac_coords": [[0.650, 0.299, 0.684], [0.000, 0.000, 0.000], [0.350, 0.701, 0.316], [0.645, 0.289, 0.308], [0.355, 0.711, 0.692], [0.707, 0.414, 0.041], [0.293, 0.586, 0.959], [0.951, 0.903, 0.611], [0.049, 0.097, 0.389]], "crystal_system": "monoclinic", "magmom_total_mub_per_cell": 0.0, "n_ef_per_ev_cell": 8.5}



It is w that is most stable; the runner-up trails by 37 meV/atom.



## w
{"formula": "La8PmIn2", "functional": "PBE", "state": "relaxed", "lattice_angstrom": [[6.235, 0.865, 0.604], [2.680, 9.562, 2.433], [2.680, 5.575, 8.140]], "species": ["La", "La", "La", "La", "La", "La", "La", "La", "Pm", "In", "In"], "frac_coords": [[0.242, 0.092, 0.561], [0.242, 0.561, 0.092], [0.758, 0.908, 0.439], [0.265, 0.499, 0.499], [0.758, 0.439, 0.908], [0.308, 0.132, 0.132], [0.692, 0.868, 0.868], [0.735, 0.501, 0.501], [0.000, 0.000, 0.000], [0.757, 0.321, 0.321], [0.243, 0.679, 0.679]], "crystal_system": "monoclinic", "magmom_total_mub_per_cell": 0.0, "n_ef_per_ev_cell": 16.8}



## x
{"formula": "La8PmIn2", "functional": "PBE", "state": "relaxed", "lattice_angstrom": [[-4.414, 2.948, 0.258], [-4.004, -5.451, -6.206], [1.486, -3.331, 8.758]], "species": ["La", "La", "La", "La", "La", "La", "La", "La", "Pm", "In", "In"], "frac_coords": [[0.659, 0.873, 0.318], [0.341, 0.555, 0.682], [0.151, 0.151, 0.301], [0.000, 0.330, 0.000], [0.849, 0.849, 0.699], [0.659, 0.445, 0.318], [0.341, 0.127, 0.682], [0.000, 0.670, 0.000], [0.500, 0.000, 0.000], [0.198, 0.698, 0.397], [0.802, 0.302, 0.603]], "crystal_system": "orthorhombic", "magmom_total_mub_per_cell": 0.0, "n_ef_per_ev_cell": 16.0}



It is x that is most stable; the runner-up trails by 14 meV/atom.



## w
{"formula": "La4Pm3In", "functional": "PBE", "state": "relaxed", "lattice_angstrom": [[5.362, 0.000, 0.000], [0.000, 3.762, -0.322], [-2.681, -0.746, 13.966]], "species": ["La", "La", "La", "La", "Pm", "Pm", "Pm", "In"], "frac_coords": [[0.403, 0.401, 0.807], [0.597, 0.599, 0.193], [0.717, 0.717, 0.434], [0.283, 0.283, 0.566], [0.000, 0.500, 0.000], [0.145, 0.146, 0.289], [0.855, 0.854, 0.711], [0.500, 0.000, 0.000]], "crystal_system": "monoclinic", "magmom_total_mub_per_cell": 0.0, "n_ef_per_ev_cell": 11.2}



## x
{"formula": "La4Pm3In", "functional": "PBE", "state": "relaxed", "lattice_angstrom": [[-6.004, -0.727, 3.848], [3.978, -1.522, 5.920], [0.302, 9.903, 2.342]], "species": ["Pm", "Pm", "Pm", "Pm", "Pm", "Pm", "In", "In", "La", "La", "La", "La", "La", "La", "La", "La"], "frac_coords": [[0.000, 0.310, 0.000], [0.270, 0.061, 0.750], [0.730, 0.561, 0.750], [0.000, 0.810, 0.500], [0.730, 0.561, 0.250], [0.270, 0.061, 0.250], [0.499, 0.811, 0.000], [0.501, 0.311, 0.500], [0.999, 0.811, 0.000], [0.500, 0.310, 0.000], [0.744, 0.060, 0.750], [0.256, 0.560, 0.750], [0.500, 0.810, 0.500], [0.001, 0.311, 0.500], [0.256, 0.560, 0.250], [0.744, 0.060, 0.250]], "crystal_system": "orthorhombic", "magmom_total_mub_per_cell": 0.0, "n_ef_per_ev_cell": 21.0}



It is x that is most stable; the runner-up trails by 74 meV/atom.



## w
{"formula": "LaPmSmIn", "functional": "PBE", "state": "relaxed", "lattice_angstrom": [[-1.696, -4.039, -2.227], [1.792, -2.764, 3.647], [-4.487, 3.867, 1.825]], "species": ["La", "Pm", "Sm", "In"], "frac_coords": [[0.750, 0.250, 0.500], [0.000, 0.000, 0.000], [0.500, 0.500, 0.000], [0.250, 0.750, 0.500]], "crystal_system": "tetragonal", "magmom_total_mub_per_cell": 0.0, "n_ef_per_ev_cell": 6.1}



## x
{"formula": "LaPmSmIn", "functional": "PBE", "state": "relaxed", "lattice_angstrom": [[5.628, 0.000, 0.000], [2.814, 4.874, 0.000], [2.814, 1.625, 4.595]], "species": ["La", "In", "Sm", "Pm"], "frac_coords": [[0.000, 0.000, 0.000], [0.250, 0.250, 0.250], [0.750, 0.750, 0.750], [0.500, 0.500, 0.500]], "crystal_system": "cubic", "magmom_total_mub_per_cell": 1.3, "n_ef_per_ev_cell": 6.1}



It is w that is most stable; the runner-up trails by 89 meV/atom.



## w
{"formula": "LaPmInSn", "functional": "PBE", "state": "relaxed", "lattice_angstrom": [[-4.734, 2.614, 1.130], [-4.735, -2.837, 0.232], [-2.506, -0.800, 4.858]], "species": ["La", "In", "Sn", "Pm"], "frac_coords": [[0.000, 0.000, 0.000], [0.750, 0.750, 0.750], [0.250, 0.250, 0.250], [0.500, 0.500, 0.500]], "crystal_system": "cubic", "magmom_total_mub_per_cell": 0.0, "n_ef_per_ev_cell": 2.7}



## x
{"formula": "LaPmInSn", "functional": "PBE", "state": "relaxed", "lattice_angstrom": [[4.968, 0.000, 0.000], [0.000, 4.306, 0.000], [-2.484, -2.153, 5.547]], "species": ["La", "Pm", "In", "Sn"], "frac_coords": [[0.380, 0.880, 0.761], [0.117, 0.117, 0.233], [0.840, 0.340, 0.681], [0.642, 0.642, 0.283]], "crystal_system": "orthorhombic", "magmom_total_mub_per_cell": 0.0, "n_ef_per_ev_cell": 2.7}



It is x that is most stable; the runner-up trails by 21 meV/atom.



## w
{"formula": "LaTbPmIn", "functional": "PBE", "state": "relaxed", "lattice_angstrom": [[-3.913, -0.164, 3.930], [-3.578, -2.154, -3.652], [4.901, -2.456, 0.861]], "species": ["La", "Tb", "Pm", "In"], "frac_coords": [[0.750, 0.250, 0.500], [0.000, 0.000, 0.000], [0.500, 0.500, 0.000], [0.250, 0.750, 0.500]], "crystal_system": "cubic", "magmom_total_mub_per_cell": 0.0, "n_ef_per_ev_cell": 7.5}



## x
{"formula": "LaTbPmIn", "functional": "PBE", "state": "relaxed", "lattice_angstrom": [[-5.020, 1.429, 2.017], [-1.229, -0.948, 5.376], [-0.467, 4.290, 3.562]], "species": ["In", "La", "Tb", "Pm"], "frac_coords": [[0.000, 0.000, 0.000], [0.250, 0.250, 0.250], [0.750, 0.750, 0.750], [0.500, 0.500, 0.500]], "crystal_system": "cubic", "magmom_total_mub_per_cell": 1.4, "n_ef_per_ev_cell": 5.5}



It is x that is most stable; the runner-up trails by 23 meV/atom.



## w
{"formula": "LaPmYIn", "functional": "PBE", "state": "relaxed", "lattice_angstrom": [[-3.485, -0.113, -4.393], [-4.299, -3.601, -0.077], [-5.253, 1.891, 0.538]], "species": ["Y", "La", "In", "Pm"], "frac_coords": [[0.750, 0.750, 0.750], [0.000, 0.000, 0.000], [0.250, 0.250, 0.250], [0.500, 0.500, 0.500]], "crystal_system": "cubic", "magmom_total_mub_per_cell": 1.0, "n_ef_per_ev_cell": 6.1}



## x
{"formula": "LaPmYIn", "functional": "PBE", "state": "relaxed", "lattice_angstrom": [[-4.850, 2.551, -0.884], [-2.700, -4.563, 1.644], [3.795, 2.326, 3.318]], "species": ["La", "Pm", "Y", "In"], "frac_coords": [[0.000, 0.000, 0.000], [0.750, 0.250, 0.500], [0.250, 0.750, 0.500], [0.500, 0.500, 0.000]], "crystal_system": "cubic", "magmom_total_mub_per_cell": 0.0, "n_ef_per_ev_cell": 7.7}



It is w that is most stable; the runner-up trails by 35 meV/atom.